# PBE CsHg5H4, optimized geometry
# - crystal system = orthorhombic
# - electronic total energy (eV per atom) = -1.440
data_CsHg5H4
_chemical_formula_sum 'Cs2 Hg10 H8'
_cell_length_a 9.881
_cell_length_b 10.136
_cell_length_c 5.215
_cell_angle_alpha 90.00
_cell_angle_beta 90.00
_cell_angle_gamma 90.00
_space_group_name_H-M_alt 'P m m n'
_space_group_IT_number 59
loop_
_space_group_symop_operation_xyz
'x,y,z'
'-x,-y,-z'
'-x+1/2,-y+1/2,z'
'x+1/2,y+1/2,-z'
'x+1/2,-y,-z'
'-x+1/2,y,z'
'-x,y+1/2,-z'
'x,-y+1/2,z'
loop_
_atom_site_label
_atom_site_type_symbol
_atom_site_fract_x
_atom_site_fract_y
_atom_site_fract_z
Cs1 Cs 0.250 0.250 0.250
Hg1 Hg 0.030 0.056 0.750
Hg2 Hg 0.250 0.750 0.246
H1 H 0.072 0.250 0.750
H2 H 0.250 0.584 0.246

# PBE Cs2Hg2H, optimized geometry
# - crystal system = tetragonal
# - relative energy among the computed polymorphs (meV per atom) = 149
data_Cs2Hg2H
_chemical_formula_sum 'Cs4 Hg4 H2'
_cell_length_a 7.370
_cell_length_b 7.370
_cell_length_c 9.336
_cell_angle_alpha 90.00
_cell_angle_beta 90.00
_cell_angle_gamma 90.00
_space_group_name_H-M_alt 'I 4/m m m'
_space_group_IT_number 139
_space_group_name_Hall '-I 4 2'
loop_
_atom_site_label
_atom_site_type_symbol
_atom_site_fract_x
_atom_site_fract_y
_atom_site_fract_z
Cs1 Cs 0.000 0.500 0.250
Hg1 Hg 0.000 0.000 0.227
H1 H 0.000 0.000 0.000

# PBE Cs8Hg2H, optimized geometry
# - crystal system = monoclinic
# - electronic total energy (eV per atom) = -1.069
data_Cs8Hg2H
_chemical_formula_sum 'Cs16 Hg4 H2'
_cell_length_a 29.713
_cell_length_b 5.111
_cell_length_c 10.439
_cell_angle_alpha 90.00
_cell_angle_beta 90.50
_cell_angle_gamma 90.00
_space_group_name_H-M_alt 'C 1 2/m 1'
_space_group_IT_number 12
_space_group_name_Hall '-C 2y'
loop_
_atom_site_label
_atom_site_type_symbol
_atom_site_fract_x
_atom_site_fract_y
_atom_site_fract_z
Cs1 Cs 0.009 0.000 0.288
Cs2 Cs 0.109 0.500 0.518
Cs3 Cs 0.117 0.500 0.994
Cs4 Cs 0.247 0.000 0.736
Hg1 Hg 0.149 0.000 0.263
H1 H 0.000 0.500 0.500